# 1
A plane-wave DFT calculation with PBE-GGA was carried out for an optimized crystal structure of Mg2ZrIn.

Cell and atoms, written as extended XYZ:
```
4
Lattice="3.138 -0.105 0.000 -1.167 2.914 0.000 0.000 0.000 10.224" Properties=species:S:1:pos:R:3 pbc="T T T"
In 0.985 1.405 7.688
Mg 0.000 0.000 10.186
Mg 0.985 1.405 2.554
Zr 0.000 0.000 5.133
```

Computed properties:
theoretical density: 4584 kg/m3
DOS at the Fermi energy: 0.54 states/eV/atom
DFT formation energy: -0.016 eV per atom

---

# 2
A plane-wave DFT calculation with PBE-GGA was carried out for an optimized crystal structure of MgZrIn.

Cell and atoms, written as extended XYZ:
```
3
Lattice="4.860 0.000 0.000 2.430 4.208 0.000 2.430 1.403 3.968" Properties=species:S:1:pos:R:3 pbc="T T T"
In 0.000 0.000 0.000
Mg 4.860 2.806 1.984
Zr 2.430 1.403 0.992
```

Computed properties:
theoretical density: 4714 kg/m3
DOS at the Fermi energy: 0.82 states/eV/atom
DFT formation energy: 0.402 eV per atom

---

# 3
A plane-wave DFT calculation with PBE-GGA was carried out for an optimized crystal structure of MgZr4In.

Cell and atoms, written as extended XYZ:
```
6
Lattice="-4.748 -2.849 1.846 -3.451 2.398 4.050 -5.312 1.927 -1.462" Properties=species:S:1:pos:R:3 pbc="T T T"
Mg 0.000 0.000 0.000
Zr -7.443 -0.877 2.588
Zr -7.726 1.520 0.928
Zr -6.793 1.756 3.693
Zr -5.061 0.553 1.661
In -10.134 1.107 3.326
```

Computed properties:
energy above the most stable polymorph in this dataset: 342 meV/atom
theoretical density: 5952 kg/m3
DOS at the Fermi energy: 1.16 states/eV/atom
DFT formation energy: 0.195 eV per atom

---

# 4
A plane-wave DFT calculation with PBE-GGA was carried out for an optimized crystal structure of Mg2ZrIn.

Cell and atoms, written as extended XYZ:
```
4
Lattice="-2.340 3.893 -9.623 -5.255 2.937 -8.774 -4.194 5.800 -7.874" Properties=species:S:1:pos:R:3 pbc="T T T"
In -8.829 9.459 -19.675
Mg -0.019 0.020 -0.042
Mg -2.947 3.157 -6.566
Zr -5.889 6.309 -13.123
```

Computed properties:
theoretical density: 4599 kg/m3
DOS at the Fermi energy: 0.62 states/eV/atom
DFT formation energy: -0.028 eV per atom